(1)
Here is a relaxed structure of NaSrNi from Alexandria. Energies are from PBE.

For the calculated formation energy, the calculation gives -65 meV per atom. The calculation puts the total energy at -17.952 eV for the cell shown. The value obtained for the energy above the most stable polymorph in this dataset is 0.0000 eV/atom. The total magnetization comes out at 0.052 μB per formula unit.

It has space group P1 (No. 1), with a = 4.088 Å, b = 4.089 Å, c = 13.928 Å, α = 81.60°, β = 81.58° and γ = 60.01°. Symmetry generates all atoms from Na at (0.000, 0.000, 0.000), Na at (0.405, 0.409, 0.784), Sr at (0.152, 0.156, 0.538), Sr at (0.250, 0.252, 0.246), Ni at (0.534, 0.538, 0.392) and Ni at (0.868, 0.871, 0.392).

(2)
Here is a relaxed structure of SrBeGeO4 from Alexandria. Energies are from PBE.

For the uncorrected formation energy, the calculation gives -2442 meV/atom. The calculation puts the total energy at -93.907 eV for the cell shown. The total magnetization comes out at 0.000 μB per formula unit.

It has space group I-4 (No. 82), with a = 5.187 Å, b = 5.187 Å, c = 7.105 Å, α = 90.00°, β = 90.00° and γ = 90.00°. Symmetry generates all atoms from Sr at (0.000, 0.000, 0.000), Be at (0.000, 0.500, 0.250), Ge at (0.000, 0.000, 0.500) and O at (0.129, 0.747, 0.361).

(3)
Here is a relaxed structure of Sm2Ga6Cu from Alexandria. Energies are from PBE.

For the calculated formation energy, the calculation gives -262 meV per atom. The calculation puts the total energy at -68.102 eV for the cell shown. The value obtained for the energy above the most stable polymorph in this dataset is 0.2219 eV/atom. The total magnetization comes out at 0.461 μB per formula unit.

It has space group C2/m (No. 12), with a = 15.664 Å, b = 7.335 Å, c = 3.256 Å, α = 90.00°, β = 95.16° and γ = 90.00°. Symmetry generates all atoms from Sm at (0.205, 0.000, 0.016), Ga at (0.000, 0.185, 0.000), Ga at (0.134, 0.323, 0.468) and Cu at (0.000, 0.500, 0.500).

(4)
Here is a relaxed structure of Ac4BiRu from Alexandria. Energies are from PBE.

For the calculated formation energy, the calculation gives -365 meV per atom. The calculation puts the total energy at -127.127 eV for the cell shown. The total magnetization comes out at 0.000 μB per formula unit.

It has space group C2/c (No. 15), with a = 9.732 Å, b = 14.805 Å, c = 6.784 Å, α = 90.00°, β = 114.65° and γ = 90.00°. Symmetry generates all atoms from Ac at (0.112, 0.173, 0.068), Ac at (0.227, 0.432, 0.345), Bi at (0.000, 0.376, 0.750) and Ru at (0.000, 0.001, 0.250).